1.
Sc2Au: relaxed, PBE.

## Properties
Energy relative to the elements, eV/atom: -0.4181
Space-group type: No. 225
Crystal system: cubic

a = 4.6692 Å, b = 4.6692 Å, c = 4.6692 Å
α = 60.00°, β = 60.00°, γ = 60.00°
Closest atoms and distances in Å follow each position.
Sites, in units of the cell vectors:
Sc: 0.2500 0.2500 0.2500  4 Au 2.86
Sc: 0.7500 0.7500 0.7500  4 Au 2.86
Au: 0.0000 0.0000 0.0000  8 Sc 2.86



2.
Sc3Au4: relaxed, PBE.

## Properties
Energy above the lowest structure with this stoichiometry, meV per atom: 0
Energy relative to the elements, eV/atom: -0.7194
Space-group type: No. 139
Crystal system: tetragonal

a = 10.9343 Å, b = 10.9343 Å, c = 10.9343 Å
α = 161.06°, β = 161.06°, γ = 26.92°
Closest atoms and distances in Å follow each position.
Sites, in units of the cell vectors:
Sc: 0.0000 0.0000 0.0000  10 Au 2.92-3.08
Sc: 0.2975 0.2975 0.0000  5 Au 2.82-2.88
Sc: 0.7025 0.7025 0.0000  5 Au 2.82-2.88
Au: 0.1448 0.1448 0.0000  5 Sc 2.82-3.08, 4 Au 3.04
Au: 0.4331 0.4331 0.0000  5 Au 2.85-3.04, 5 Sc 2.88-2.92
Au: 0.5669 0.5669 0.0000  5 Au 2.85-3.04, 5 Sc 2.88-2.92
Au: 0.8552 0.8552 0.0000  5 Sc 2.82-3.08, 4 Au 3.04



3.
Sc5Au3: relaxed, PBE.

## Properties
Energy above the lowest structure with this stoichiometry, meV per atom: 35
Energy relative to the elements, eV/atom: -0.5996
Space-group type: No. 140
Crystal system: tetragonal

a = 8.2408 Å, b = 8.2408 Å, c = 8.2408 Å
α = 96.74°, β = 96.74°, γ = 139.93°
Closest atoms and distances in Å follow each position.
Sites, in units of the cell vectors:
Sc: 0.0811 0.7872 0.8683  4 Au 2.87-2.99, 1 Sc 3.19
Sc: 0.2128 0.0811 0.2939  4 Au 2.87-2.99, 1 Sc 3.19
Sc: 0.2500 0.7500 0.5000  2 Sc 2.82, 4 Au 2.86
Sc: 0.2872 0.5811 0.8683  4 Au 2.87-2.99, 1 Sc 3.19
Sc: 0.4189 0.2872 0.7061  4 Au 2.87-2.99, 1 Sc 3.19
Sc: 0.5811 0.7128 0.2939  4 Au 2.87-2.99, 1 Sc 3.19
Sc: 0.7128 0.4189 0.1317  4 Au 2.87-2.99, 1 Sc 3.19
Sc: 0.7500 0.2500 0.5000  2 Sc 2.82, 4 Au 2.86
Sc: 0.7872 0.9189 0.7061  4 Au 2.87-2.99, 1 Sc 3.19
Sc: 0.9189 0.2128 0.1317  4 Au 2.87-2.99, 1 Sc 3.19
Au: 0.1607 0.3393 0.5000  6 Sc 2.86-2.99
Au: 0.2500 0.2500 0.0000  2 Au 2.82, 8 Sc 2.87
Au: 0.3393 0.8393 0.1786  6 Sc 2.86-2.99
Au: 0.6607 0.1607 0.8214  6 Sc 2.86-2.99
Au: 0.7500 0.7500 0.0000  2 Au 2.82, 8 Sc 2.87
Au: 0.8393 0.6607 0.5000  6 Sc 2.86-2.99



4.
Sc4Au: relaxed, PBE.

## Properties
Energy above the lowest structure with this stoichiometry, meV per atom: 0
Energy relative to the elements, eV/atom: -0.2448
Space-group type: No. 43
Crystal system: orthorhombic

a = 7.7680 Å, b = 6.1312 Å, c = 9.0415 Å
α = 57.85°, β = 41.93°, γ = 80.22°
Closest atoms and distances in Å follow each position.
Sites, in units of the cell vectors:
Sc: 0.0009 0.4991 0.1055  2 Au 2.81-2.91, 3 Sc 3.06-3.11
Sc: 0.1445 0.8555 0.2491  2 Au 2.81-2.91, 3 Sc 3.06-3.11
Sc: 0.4346 0.5241 0.3651  2 Au 2.96-3.22, 9 Sc 3.06-3.28
Sc: 0.4991 0.0009 0.3945  2 Au 2.81-2.91, 3 Sc 3.06-3.11
Sc: 0.5241 0.4346 0.6761  2 Au 2.96-3.22, 9 Sc 3.06-3.28
Sc: 0.5739 0.8849 0.7259  2 Au 2.96-3.22, 9 Sc 3.06-3.28
Sc: 0.8555 0.1445 0.7509  2 Au 2.81-2.91, 3 Sc 3.06-3.11
Sc: 0.8849 0.5739 0.8154  2 Au 2.96-3.22, 9 Sc 3.06-3.28
Au: 0.0387 0.0387 0.9613  6 Sc 2.81-2.96
Au: 0.2887 0.2887 0.2113  6 Sc 2.81-2.96



5.
Sc3Au: relaxed, PBE.

## Properties
Energy relative to the elements, eV/atom: -0.2720
Space-group type: No. 63
Crystal system: orthorhombic

a = 6.3453 Å, b = 6.3453 Å, c = 5.0310 Å
α = 90.00°, β = 90.00°, γ = 121.90°
Closest atoms and distances in Å follow each position.
Sites, in units of the cell vectors:
Sc: 0.0785 0.9215 0.7500  10 Sc 3.06-3.25, 2 Au 3.08
Sc: 0.0974 0.4198 0.7500  8 Sc 2.98-3.25, 4 Au 3.04-3.24
Sc: 0.4198 0.0974 0.2500  8 Sc 2.98-3.25, 4 Au 3.04-3.24
Sc: 0.5802 0.9026 0.7500  8 Sc 2.98-3.25, 4 Au 3.04-3.24
Sc: 0.9026 0.5802 0.2500  8 Sc 2.98-3.25, 4 Au 3.04-3.24
Sc: 0.9215 0.0785 0.2500  10 Sc 3.06-3.25, 2 Au 3.08
Au: 0.4155 0.5845 0.2500  10 Sc 3.04-3.24, 2 Au 3.14
Au: 0.5845 0.4155 0.7500  10 Sc 3.04-3.24, 2 Au 3.14



6.
Sc2Au: relaxed, PBE.

## Properties
Energy relative to the elements, eV/atom: -0.5167
Space-group type: No. 36
Crystal system: orthorhombic

a = 6.1791 Å, b = 6.1791 Å, c = 6.4106 Å
α = 90.00°, β = 90.00°, γ = 146.61°
Closest atoms and distances in Å follow each position.
Sites, in units of the cell vectors:
Sc: 0.0238 0.9762 0.5000  4 Au 2.75-2.89
Sc: 0.3034 0.6966 0.6975  3 Au 2.81-2.87
Sc: 0.6966 0.3034 0.1975  3 Au 2.81-2.87
Sc: 0.9762 0.0238 0.0000  4 Au 2.75-2.89
Au: 0.3763 0.6237 0.2712  7 Sc 2.75-2.89
Au: 0.6237 0.3763 0.7712  7 Sc 2.75-2.89



7.
Sc2Au: relaxed, PBE.

## Properties
Energy relative to the elements, eV/atom: -0.5878
Space-group type: No. 189
Crystal system: hexagonal

a = 7.0348 Å, b = 7.0348 Å, c = 4.5886 Å
α = 90.00°, β = 90.00°, γ = 120.00°
Closest atoms and distances in Å follow each position.
Sites, in units of the cell vectors:
Sc: 0.0000 0.2559 0.0000  4 Au 2.66-2.92
Sc: 0.0000 0.5887 0.5000  5 Au 2.89-3.13
Sc: 0.2559 0.0000 0.0000  4 Au 2.66-2.92
Sc: 0.4113 0.4113 0.5000  5 Au 2.89-3.13
Sc: 0.5887 0.0000 0.5000  5 Au 2.89-3.13
Sc: 0.7441 0.7441 0.0000  4 Au 2.66-2.92
Au: 0.0000 0.0000 0.5000  9 Sc 2.89-2.92
Au: 0.3333 0.6667 0.0000  3 Sc 2.66
Au: 0.6667 0.3333 0.0000  3 Sc 2.66



8.
Sc5Au: relaxed, PBE.

## Properties
Energy above the lowest structure with this stoichiometry, meV per atom: 401
Energy relative to the elements, eV/atom: 0.1584
Space-group type: No. 216
Crystal system: cubic

a = 5.7925 Å, b = 5.7925 Å, c = 5.7925 Å
α = 60.00°, β = 60.00°, γ = 60.00°
Closest atoms and distances in Å follow each position.
Sites, in units of the cell vectors:
Sc: 0.0000 0.0000 0.0000  12 Sc 3.39, 4 Au 3.55
Sc: 0.3743 0.3743 0.3743  6 Sc 2.88-2.91
Sc: 0.3743 0.3743 0.8770  6 Sc 2.88-2.91
Sc: 0.3743 0.8770 0.3743  6 Sc 2.88-2.91
Sc: 0.8770 0.3743 0.3743  6 Sc 2.88-2.91
Au: 0.7500 0.7500 0.7500  16 Sc 3.40-3.55



9.
Sc3Au: relaxed, PBE.

## Properties
Energy relative to the elements, eV/atom: -0.4200
Space-group type: No. 71
Crystal system: orthorhombic

a = 5.9387 Å, b = 5.9387 Å, c = 5.9387 Å
α = 145.48°, β = 131.99°, γ = 60.46°
Closest atoms and distances in Å follow each position.
Sites, in units of the cell vectors:
Sc: 0.0000 0.0000 0.0000  4 Au 2.99, 4 Sc 3.30
Sc: 0.2811 0.7811 0.5000  2 Au 2.85, 4 Sc 3.06
Sc: 0.7189 0.2189 0.5000  2 Au 2.85, 4 Sc 3.06
Au: 0.5000 0.5000 0.0000  8 Sc 2.85-2.99



10.
Sc5Au: relaxed, PBE.

## Properties
Energy above the lowest structure with this stoichiometry, meV per atom: 662
Energy relative to the elements, eV/atom: 0.4195
Space-group type: No. 191
Crystal system: hexagonal

a = 5.7053 Å, b = 5.7053 Å, c = 5.2816 Å
α = 90.00°, β = 90.00°, γ = 120.00°
Closest atoms and distances in Å follow each position.
Sites, in units of the cell vectors:
Sc: 0.0000 0.5000 0.0000  8 Sc 2.85-3.11
Sc: 0.3333 0.6667 0.5000  9 Sc 3.11-3.29, 3 Au 3.29
Sc: 0.5000 0.0000 0.0000  8 Sc 2.85-3.11
Sc: 0.5000 0.5000 0.0000  8 Sc 2.85-3.11
Sc: 0.6667 0.3333 0.5000  9 Sc 3.11-3.29, 3 Au 3.29
Au: 0.0000 0.0000 0.5000  6 Sc 3.29



11.
Sc2Au13: relaxed, PBE.

## Properties
Energy relative to the elements, eV/atom: -0.1963
Space-group type: No. 166
Crystal system: trigonal

a = 7.5832 Å, b = 7.5832 Å, c = 7.5832 Å
α = 58.53°, β = 58.53°, γ = 58.53°
Closest atoms and distances in Å follow each position.
Sites, in units of the cell vectors:
Sc: 0.1605 0.1605 0.1605  7 Au 2.77-3.01
Sc: 0.8395 0.8395 0.8395  7 Au 2.77-3.01
Au: 0.0000 0.0000 0.0000  6 Au 2.82, 2 Sc 3.01
Au: 0.1588 0.1588 0.5363  6 Au 2.80-2.91, 1 Sc 2.84
Au: 0.1588 0.5363 0.1588  6 Au 2.80-2.91, 1 Sc 2.84
Au: 0.2949 0.6931 0.6931  1 Sc 2.77, 7 Au 2.84-2.95
Au: 0.3069 0.3069 0.7051  1 Sc 2.77, 7 Au 2.84-2.95
Au: 0.3069 0.7051 0.3069  1 Sc 2.77, 7 Au 2.84-2.95
Au: 0.4637 0.8412 0.8412  6 Au 2.80-2.91, 1 Sc 2.84
Au: 0.5363 0.1588 0.1588  6 Au 2.80-2.91, 1 Sc 2.84
Au: 0.6931 0.2949 0.6931  1 Sc 2.77, 7 Au 2.84-2.95
Au: 0.6931 0.6931 0.2949  1 Sc 2.77, 7 Au 2.84-2.95
Au: 0.7051 0.3069 0.3069  1 Sc 2.77, 7 Au 2.84-2.95
Au: 0.8412 0.4637 0.8412  6 Au 2.80-2.91, 1 Sc 2.84
Au: 0.8412 0.8412 0.4637  6 Au 2.80-2.91, 1 Sc 2.84



12.
Sc5Au3: relaxed, PBE.

## Properties
Energy above the lowest structure with this stoichiometry, meV per atom: 65
Energy relative to the elements, eV/atom: -0.5693
Space-group type: No. 65
Crystal system: orthorhombic

a = 6.0691 Å, b = 6.0691 Å, c = 4.7766 Å
α = 90.00°, β = 90.00°, γ = 109.20°
Closest atoms and distances in Å follow each position.
Sites, in units of the cell vectors:
Sc: 0.0000 0.0000 0.0000  8 Sc 3.03-3.09, 4 Au 3.14
Sc: 0.0000 0.5000 0.0000  6 Au 3.00-3.03, 2 Sc 3.03
Sc: 0.2782 0.2782 0.5000  4 Au 2.83-2.85, 3 Sc 3.09-3.12
Sc: 0.5000 0.0000 0.0000  6 Au 3.00-3.03, 2 Sc 3.03
Sc: 0.7218 0.7218 0.5000  4 Au 2.83-2.85, 3 Sc 3.09-3.12
Au: 0.2064 0.7936 0.5000  8 Sc 2.83-3.14
Au: 0.5000 0.5000 0.0000  8 Sc 2.85-3.03
Au: 0.7936 0.2064 0.5000  8 Sc 2.83-3.14